1.
Pu2UPd9 after structural relaxation. Source: Alexandria via LeMat-Bulk, functional PBE.

Space group: No. 123
E_form, eV per atom: -0.564
Spin magnetization, μB/cell: 11.514
Mass density, Mg/m³: 13.05

Cell lengths 4.1503, 4.1503, 12.4352 Å; angles 90.00, 90.00, 90.00 degrees
Sites, in units of the cell vectors:
Pu (0.0000, 0.0000, 0.3346)
Pd (0.5000, 0.0000, 0.8381)
U (0.0000, 0.0000, 0.0000)
Pu (0.0000, 0.0000, 0.6654)
Pd (0.0000, 0.5000, 0.1619)
Pd (0.0000, 0.5000, 0.5000)
Pd (0.5000, 0.5000, 0.0000)
Pd (0.0000, 0.5000, 0.8381)
Pd (0.5000, 0.0000, 0.5000)
Pd (0.5000, 0.0000, 0.1619)
Pd (0.5000, 0.5000, 0.6692)
Pd (0.5000, 0.5000, 0.3308)

=====

2.
Na3Tb2SnS6 after structural relaxation. Source: Alexandria via LeMat-Bulk, functional PBE.

Space group: No. 12
Spin magnetization, μB/cell: 0.000
Formation energy (no corrections), eV/atom: -1.447
Mass density, Mg/m³: 4.18

Cell lengths 6.9228, 6.9228, 7.0632 Å; angles 99.41, 99.41, 119.99 degrees
Sites, in units of the cell vectors:
S (0.0761, 0.4074, 0.2274)
S (0.2562, 0.2562, 0.7736)
Sn (0.0000, 0.0000, 0.0000)
Tb (0.6669, 0.3331, 0.0000)
Na (0.5000, 0.5000, 0.5000)
S (0.7438, 0.7438, 0.2264)
S (0.9239, 0.5926, 0.7726)
Tb (0.3331, 0.6669, 0.0000)
Na (0.8363, 0.1637, 0.5000)
S (0.4074, 0.0761, 0.2274)
Na (0.1637, 0.8363, 0.5000)
S (0.5926, 0.9239, 0.7726)